10
Lattice="8.4527 0.0000 0.0000 0.0000 8.4527 0.0000 0.0000 0.0000 3.0760" Properties=species:S:1:pos:R:3 comment="PBE NaHf2Ti2, optimized geometry" spacegroup="P4/mbm (127)" dft_energy_ev_per_fu=-34.909 total_magnetization_mub_per_cell=0.00 formation_energy_mev_per_atom=421.4 pbc="T T T"
Na 0.0000 0.0000 0.0000
Na 4.2264 4.2264 0.0000
Hf 1.4957 2.7306 1.5380
Hf 2.7306 6.9570 1.5380
Hf 5.7221 1.4957 1.5380
Hf 6.9570 5.7221 1.5380
Ti 0.9540 5.1804 0.0000
Ti 3.2723 0.9540 0.0000
Ti 5.1804 7.4987 0.0000
Ti 7.4987 3.2723 0.0000